Below is La4Tb3Ho2 after structural relaxation, with properties calculated at the PBE-GGA level.

a = 15.4439 Å, b = 5.1660 Å, c = 8.0872 Å
α = 90.00°, β = 108.36°, γ = 90.00°
Space group C2/m (No. 12)
One atom of each set of equivalent atoms:
La1 0.0540 0.0000 0.3296 [4 per cell]
La2 0.2237 0.5000 0.3319 [4 per cell]
Tb1 0.0000 0.5000 0.0000 [2 per cell]
Tb2 0.1119 0.5000 0.6712 [4 per cell]
Ho1 0.1678 0.0000 0.9999 [4 per cell]

Output
The value obtained for the relative energy among the computed polymorphs is 0 meV/atom. The value obtained for the formation energy is 0.0298 eV/atom.


Below is PmNi6B6 after structural relaxation, with properties calculated at the PBE-GGA level.

a = 4.2158 Å, b = 7.4006 Å, c = 7.7598 Å
α = 90.00°, β = 90.00°, γ = 90.00°
Space group Immm (No. 71)
One atom of each set of equivalent atoms:
Pm1 0.0000 0.0000 0.0000 [2 per cell]
Ni1 0.0000 0.0000 0.3517 [4 per cell]
Ni2 0.0000 0.3425 0.0000 [4 per cell]
Ni3 0.0000 0.5000 0.3003 [4 per cell]
B1 0.0000 0.2506 0.5000 [4 per cell]
B2 0.2500 0.2500 0.2500 [8 per cell]

Output
The value obtained for the formation energy is 0.0331 eV/atom.


Below is SrCdSn after structural relaxation, with properties calculated at the PBE-GGA level.

a = 3.7546 Å, b = 5.8430 Å, c = 17.3250 Å
α = 90.00°, β = 90.00°, γ = 90.00°
Space group Immm (No. 71)
One atom of each set of equivalent atoms:
Sr1 0.0000 0.0000 0.1594 [4 per cell]
Cd1 0.0000 0.2564 0.5000 [4 per cell]
Sn1 0.0000 0.0000 0.3536 [4 per cell]

Output
The value obtained for the formation energy is -0.3716 eV/atom.


Below is La3Pr2Sm3 after structural relaxation, with properties calculated at the PBE-GGA level.

a = 5.2056 Å, b = 5.2253 Å, c = 20.9387 Å
α = 90.00°, β = 90.00°, γ = 90.00°
Space group Immm (No. 71)
One atom of each set of equivalent atoms:
La1 0.0000 0.0000 0.0000 [2 per cell]
La2 0.0000 0.5000 0.1232 [4 per cell]
Pr1 0.0000 0.0000 0.2492 [4 per cell]
Sm1 0.0000 0.0000 0.5000 [2 per cell]
Sm2 0.0000 0.5000 0.3743 [4 per cell]

Output
The value obtained for the formation energy is 0.0162 eV/atom.


Below is SrAgBi3 after structural relaxation, with properties calculated at the PBE-GGA level.

a = 5.6107 Å, b = 5.6107 Å, c = 5.6107 Å
α = 90.00°, β = 90.00°, γ = 90.00°
Space group Pm-3m (No. 221)
One atom of each set of equivalent atoms:
Sr1 0.0000 0.0000 0.0000 [1 per cell]
Ag1 0.5000 0.5000 0.5000 [1 per cell]
Bi1 0.0000 0.5000 0.5000 [3 per cell]

Output
The value obtained for the relative energy among the computed polymorphs is 0 meV/atom. The value obtained for the formation energy is -0.0221 eV/atom.


Below is Cu6OF11 after structural relaxation, with properties calculated at the PBE-GGA level.

a = 3.1346 Å, b = 6.5089 Å, c = 10.6603 Å
α = 72.23°, β = 87.71°, γ = 89.92°
Space group P1 (No. 1)
One atom of each set of equivalent atoms:
Cu1 0.0000 0.0000 0.0000 [1 per cell]
Cu2 0.0050 0.3449 0.3337 [1 per cell]
Cu3 0.4831 0.1782 0.6649 [1 per cell]
Cu4 0.5004 0.5372 0.0000 [1 per cell]
Cu5 0.5157 0.8443 0.3350 [1 per cell]
Cu6 0.9943 0.6774 0.6663 [1 per cell]
O1 0.0000 0.7114 0.0001 [1 per cell]
F1 0.0002 0.3117 0.9999 [1 per cell]
F2 0.0161 0.0399 0.3361 [1 per cell]
F3 0.0169 0.6469 0.3374 [1 per cell]
F4 0.4346 0.0775 0.8622 [1 per cell]
F5 0.4935 0.6154 0.7925 [1 per cell]
F6 0.4943 0.7436 0.5346 [1 per cell]
F7 0.5045 0.2788 0.4653 [1 per cell]
F8 0.5061 0.4082 0.2075 [1 per cell]
F9 0.5651 0.9404 0.1378 [1 per cell]
F10 0.9822 0.9833 0.6625 [1 per cell]
F11 0.9826 0.3751 0.6638 [1 per cell]

Output
The value obtained for the uncorrected formation energy is -1.39 eV per atom. The value obtained for the relative energy among the computed polymorphs is 7 meV/atom.


Below is YRe2Si after structural relaxation, with properties calculated at the PBE-GGA level.

a = 2.9390 Å, b = 2.9390 Å, c = 27.1102 Å
α = 90.00°, β = 90.00°, γ = 120.00°
Space group R-3m (No. 166, hexagonal axes)
One atom of each set of equivalent atoms:
Y1 0.0000 0.0000 0.0000 [3 per cell]
Re1 0.0000 0.0000 0.2360 [6 per cell]
Si1 0.0000 0.0000 0.5000 [3 per cell]

Output
The value obtained for the uncorrected formation energy is 0.37 eV per atom.


Below is Nd3Pu4N8 after structural relaxation, with properties calculated at the PBE-GGA level.

a = 9.9915 Å, b = 10.0024 Å, c = 7.0582 Å
α = 90.00°, β = 134.71°, γ = 90.00°
Space group C2/m (No. 12)
One atom of each set of equivalent atoms:
Nd1 0.0000 0.0000 0.0000 [2 per cell]
Nd2 0.2500 0.2500 0.5000 [4 per cell]
Pu1 0.0000 0.5000 0.0000 [2 per cell]
Pu2 0.0000 0.5000 0.5000 [2 per cell]
Pu3 0.2500 0.2500 0.0000 [4 per cell]
N1 0.0000 0.2565 0.0000 [4 per cell]
N2 0.0000 0.2810 0.5000 [4 per cell]
N3 0.2043 0.5000 0.4848 [4 per cell]
N4 0.2165 0.5000 0.9472 [4 per cell]

Output
The value obtained for the uncorrected formation energy is -1.10 eV per atom.


Below is NpBeS2 after structural relaxation, with properties calculated at the PBE-GGA level.

a = 3.4285 Å, b = 3.4285 Å, c = 22.5804 Å
α = 90.00°, β = 90.00°, γ = 120.00°
Space group R-3m (No. 166, hexagonal axes)
One atom of each set of equivalent atoms:
Np1 0.0000 0.0000 0.0000 [3 per cell]
Be1 0.0000 0.0000 0.5000 [3 per cell]
S1 0.0000 0.0000 0.1136 [6 per cell]

Output
The value obtained for the uncorrected formation energy is -0.24 eV per atom.


Below is CePuIN2 after structural relaxation, with properties calculated at the PBE-GGA level.

a = 7.3655 Å, b = 4.1218 Å, c = 7.9591 Å
α = 90.00°, β = 106.36°, γ = 90.00°
Space group P2_1/m (No. 11)
One atom of each set of equivalent atoms:
Ce1 0.1518 0.2500 0.4163 [2 per cell]
Pu1 0.1423 0.2500 0.9123 [2 per cell]
I1 0.4594 0.7500 0.7433 [2 per cell]
N1 0.0121 0.7500 0.3759 [2 per cell]
N2 0.0117 0.7500 0.8823 [2 per cell]

Output
The value obtained for the uncorrected formation energy is -1.42 eV per atom.


Below is KRe2Si after structural relaxation, with properties calculated at the PBE-GGA level.

a = 5.6949 Å, b = 10.1760 Å, c = 2.5979 Å
α = 90.00°, β = 111.98°, γ = 90.00°
Space group C2/m (No. 12)
One atom of each set of equivalent atoms:
K1 0.0000 0.0000 0.0000 [2 per cell]
Re1 0.2500 0.2500 0.5000 [4 per cell]
Si1 0.0000 0.5000 0.0000 [2 per cell]

Output
The value obtained for the uncorrected formation energy is 1.32 eV per atom.


Below is Rb2SnBr4 after structural relaxation, with properties calculated at the PBE-GGA level.

a = 10.1907 Å, b = 13.7342 Å, c = 4.6215 Å
α = 90.00°, β = 90.00°, γ = 90.00°
Space group Cmmm (No. 65)
One atom of each set of equivalent atoms:
Rb1 0.2500 0.2500 0.0000 [4 per cell]
Sn1 0.0000 0.0000 0.5000 [2 per cell]
Br1 0.0000 0.2193 0.5000 [4 per cell]
Br2 0.1979 0.0000 0.0000 [4 per cell]

Output
The value obtained for the uncorrected formation energy is -1.35 eV per atom. The value obtained for the relative energy among the computed polymorphs is 0 meV/atom.


no.,size of the total moment (μB/f.u.),D(E_F) (states/eV per cell),calculated density (g cm⁻³)
1,0.000,31.28,7.388
2,0.000,9.10,7.710
3,0.000,4.70,5.570
4,0.000,28.03,6.704
5,0.000,3.46,7.732
6,4.433,9.16,4.865
7,0.000,11.37,12.022
8,7.179,58.07,10.075
9,3.687,17.46,6.721
10,5.012,20.19,7.721
11,0.000,6.71,10.458
12,0.000,0.00,3.128